Entry 1:
BiTeIrN2 | PBE | relaxed

Calculated values
Polymorph energy (0 for the lowest one), eV/f.u.: 0.00

Unit cell a=4.0363 b=4.0363 c=5.8448 alpha=90.00 beta=90.00 gamma=90.00
Fractional positions:
Bi1 0.0000 0.0000 0.0000
Te1 0.5000 0.5000 0.0000
Ir1 0.5000 0.5000 0.5000
N1 0.0000 0.5000 0.5000
N2 0.5000 0.0000 0.5000

Entry 2:
Na2CoS2 | PBE | relaxed

Unit cell a=7.1097 b=7.1097 c=7.1097 alpha=127.53 beta=72.38 gamma=133.91
Fractional positions:
Na1 0.1444 0.1625 0.3069
Na2 0.3556 0.6625 0.0181
Na3 0.6444 0.3375 0.9819
Na4 0.8556 0.8375 0.6931
Co1 0.2500 0.7500 0.5000
Co2 0.7500 0.2500 0.5000
S1 0.1103 0.7072 0.8175
S2 0.3897 0.2072 0.5970
S3 0.6103 0.7928 0.4030
S4 0.8897 0.2928 0.1825

Number 1: formation energy from raw total energies 1.122 eV/atom, raw total energy -5.385 eV per atom. Number 2: formation energy from raw total energies -0.734 eV/atom, raw total energy -4.333 eV per atom.